Record 1
{
  "formula": "Ca2Cl3O2",
  "functional": "PBE",
  "state": "optimized geometry",
  "e_form_raw_ev_per_atom": -1.91,
  "spacegroup": "No. 2",
  "e_tot_ev_per_atom": -4.69,
  "cell": [[4.125, 0.000, 0.000], [0.003, 6.392, 0.000], [2.059, 1.260, 6.197]],
  "species": ["Ca", "Ca", "Cl", "Cl", "Cl", "O", "O"],
  "frac_coords": [[0.118, 0.317, 0.265], [0.882, 0.683, 0.735], [0.246, 0.733, 0.007], [0.500, 0.500, 0.500], [0.754, 0.267, 0.993], [0.167, 0.996, 0.495], [0.833, 0.004, 0.505]]
}

Record 2
{
  "formula": "Al2CuSb",
  "functional": "PBE",
  "state": "optimized geometry",
  "e_form_raw_ev_per_atom": 0.20,
  "spacegroup": "No. 123",
  "e_tot_ev_per_atom": -3.73,
  "cell": [[3.932, 0.000, 0.000], [0.000, 3.932, 0.000], [0.000, 0.000, 4.782]],
  "species": ["Al", "Al", "Cu", "Sb"],
  "frac_coords": [[0.000, 0.500, 0.000], [0.500, 0.000, 0.000], [0.000, 0.000, 0.500], [0.500, 0.500, 0.500]]
}

Record 3
{
  "formula": "InSi3Tc",
  "functional": "PBE",
  "state": "optimized geometry",
  "e_form_raw_ev_per_atom": 0.38,
  "relative_energy_ev_per_atom": 0.0000,
  "spacegroup": "No. 221",
  "e_tot_ev_per_atom": -5.50,
  "cell": [[4.718, 0.000, 0.000], [0.000, 4.718, 0.000], [0.000, 0.000, 4.718]],
  "species": ["In", "Si", "Si", "Si", "Tc"],
  "frac_coords": [[0.000, 0.000, 0.000], [0.000, 0.500, 0.500], [0.500, 0.000, 0.500], [0.500, 0.500, 0.000], [0.500, 0.500, 0.500]]
}